# 1
Below is a relaxed structure of LiCaRhN2, with properties calculated at the GGA-PBEsol level.

## Properties
- Space-group type: P4/mmm (123)
- Uncorrected formation energy: 0.95 eV/atom

Cell lengths 3.9004, 3.9004, 3.8836 Å; angles 90.00, 90.00, 90.00 degrees
Element x y z (fractional)
1 Ca 0.5000 0.5000 0.5000
2 Li 0.0000 0.0000 0.0000
3 Rh 0.0000 0.0000 0.5000
4 N 0.0000 0.5000 0.0000
5 N 0.5000 0.0000 0.0000

# 2
Below is a relaxed structure of LiCaS2N, with properties calculated at the GGA-PBEsol level.

## Properties
- Space-group type: P4/mmm (123)
- Uncorrected formation energy: -0.03 eV/atom

Cell lengths 3.9641, 4.5663, 4.5663 Å; angles 90.00, 90.00, 90.00 degrees
Element x y z (fractional)
1 Ca 0.5000 0.5000 0.5000
2 Li 0.0000 0.0000 0.0000
3 S 0.0000 0.0000 0.5000
4 S 0.0000 0.5000 0.0000
5 N 0.5000 0.0000 0.0000

# 3
Below is a relaxed structure of Li4Ca3Si2N6, with properties calculated at the GGA-PBEsol level.

## Properties
- Space-group type: C2/m (12)
- Uncorrected formation energy: -1.12 eV/atom

Cell lengths 5.6286, 5.6286, 5.9435 Å; angles 90.30, 90.30, 118.50 degrees
Element x y z (fractional)
1 Li 0.9646 0.3146 0.8738
2 Li 0.3146 0.9646 0.8738
3 Li 0.0354 0.6854 0.1262
4 Li 0.6854 0.0354 0.1262
5 Ca 0.6850 0.3150 0.5000
6 Ca 0.3150 0.6850 0.5000
7 Ca 0.5000 0.5000 0.0000
8 Si 0.1190 0.1190 0.3306
9 Si 0.8810 0.8810 0.6694
10 N 0.6341 0.9340 0.7910
11 N 0.1946 0.1946 0.6337
12 N 0.8054 0.8054 0.3663
13 N 0.3659 0.0660 0.2090
14 N 0.0660 0.3659 0.2090
15 N 0.9340 0.6341 0.7910

# 4
Below is a relaxed structure of Sr2LiCaN, with properties calculated at the GGA-PBEsol level.

## Properties
- Space-group type: P4/mmm (123)
- Uncorrected formation energy: -0.04 eV/atom

Cell lengths 5.0592, 5.2551, 5.2551 Å; angles 90.00, 90.00, 90.00 degrees
Element x y z (fractional)
1 Sr 0.0000 0.0000 0.5000
2 Sr 0.0000 0.5000 0.0000
3 Ca 0.5000 0.5000 0.5000
4 Li 0.5000 0.0000 0.0000
5 N 0.0000 0.0000 0.0000

# 5
Below is a relaxed structure of LiCaTe2N, with properties calculated at the GGA-PBEsol level.

## Properties
- Space-group type: P4/mmm (123)
- Uncorrected formation energy: 0.38 eV/atom

Cell lengths 4.5146, 5.8627, 5.8627 Å; angles 90.00, 90.00, 90.00 degrees
Element x y z (fractional)
1 Ca 0.0000 0.0000 0.0000
2 Te 0.0000 0.0000 0.5000
3 Te 0.0000 0.5000 0.0000
4 Li 0.5000 0.5000 0.5000
5 N 0.5000 0.0000 0.0000

# 6
Below is a relaxed structure of NaLi3Ca, with properties calculated at the GGA-PBEsol level.

## Properties
- Space-group type: Pm-3m (221)
- Energy of formation: 0.247 eV per atom
- Relative energy among the computed polymorphs: 0 meV/atom

Cell lengths 5.2494, 5.2494, 5.2494 Å; angles 90.00, 90.00, 90.00 degrees
Element x y z (fractional)
1 Na 0.0000 0.0000 0.0000
2 Ca 0.5000 0.5000 0.5000
3 Li 0.0000 0.5000 0.0000
4 Li 0.0000 0.0000 0.5000
5 Li 0.5000 0.0000 0.0000

# 7
Below is a relaxed structure of NaLiCa2, with properties calculated at the GGA-PBEsol level.

## Properties
- Space-group type: Fm-3m (225)
- Energy of formation: 0.059 eV per atom

Cell lengths 5.7774, 5.7774, 5.7774 Å; angles 60.00, 60.00, 60.00 degrees
Element x y z (fractional)
1 Na 0.5000 0.5000 0.5000
2 Ca 0.2500 0.2500 0.2500
3 Ca 0.7500 0.7500 0.7500
4 Li 0.0000 0.0000 0.0000

# 8
Below is a relaxed structure of Li2CaNb, with properties calculated at the GGA-PBEsol level.

## Properties
- Space-group type: I-42d (122)
- Energy of formation: 0.891 eV per atom

Cell lengths 5.9958, 6.2274, 6.2274 Å; angles 76.60, 61.22, 61.22 degrees
Element x y z (fractional)
1 Nb 0.0000 0.0000 0.0000
2 Nb 0.7500 0.5000 0.5000
3 Ca 0.5000 0.0000 0.0000
4 Ca 0.2500 0.5000 0.5000
5 Li 0.6430 0.9820 0.4820
6 Li 0.1070 0.0180 0.5180
7 Li 0.3750 0.5180 0.9820
8 Li 0.8750 0.4820 0.0180

# 9
Below is a relaxed structure of LiCa2Nb3O10, with properties calculated at the GGA-PBEsol level.

## Properties
- Space-group type: Pc (7)
- Uncorrected formation energy: -2.73 eV/atom

Cell lengths 5.4698, 5.4810, 28.3176 Å; angles 90.00, 90.40, 90.00 degrees
Element x y z (fractional)
1 Li 0.7496 0.9993 0.7482
2 Li 0.7509 0.5010 0.7525
3 Li 0.7509 0.4990 0.2525
4 Li 0.7496 0.0007 0.2482
5 Ca 0.0150 0.2421 0.5775
6 Ca 0.0150 0.7579 0.0775
7 Ca 0.4781 0.7667 0.5795
8 Ca 0.4852 0.2581 0.9233
9 Ca 0.4781 0.2333 0.0795
10 Ca 0.4852 0.7419 0.4233
11 Ca 0.0220 0.7335 0.9211
12 Ca 0.0220 0.2665 0.4211
13 Nb 0.9935 0.2486 0.8505
14 Nb 0.9996 0.7679 0.4999
15 Nb 0.9935 0.7514 0.3505
16 Nb 0.9996 0.2321 0.9999
17 Nb 0.5097 0.7535 0.8508
18 Nb 0.5097 0.2465 0.3508
19 Nb 0.5007 0.2679 0.5008
20 Nb 0.5067 0.2518 0.6502
21 Nb 0.5007 0.7321 0.0008
22 Nb 0.5067 0.7482 0.1502
23 Nb 0.9904 0.7469 0.6499
24 Nb 0.9904 0.2531 0.1499
25 O 0.9235 0.2317 0.7885
26 O 0.9235 0.7683 0.2885
27 O 0.0314 0.7985 0.5682
28 O 0.0314 0.2015 0.0682
29 O 0.1696 0.9217 0.9921
30 O 0.1696 0.0783 0.4921
31 O 0.2419 0.4905 0.6347
32 O 0.2383 0.5147 0.8540
33 O 0.2609 0.9866 0.6468
34 O 0.2586 0.0105 0.8661
35 O 0.2419 0.5095 0.1347
36 O 0.2383 0.4853 0.3540
37 O 0.2609 0.0134 0.1468
38 O 0.2586 0.9895 0.3661
39 O 0.3307 0.5785 0.5085
40 O 0.3307 0.4215 0.0085
41 O 0.4502 0.1895 0.5673
42 O 0.4502 0.8105 0.0673
43 O 0.5811 0.7671 0.7889
44 O 0.5811 0.2329 0.2889
45 O 0.5773 0.2685 0.7122
46 O 0.5773 0.7315 0.2122
47 O 0.4694 0.7017 0.9325
48 O 0.4694 0.2983 0.4325
49 O 0.6825 0.9329 0.4924
50 O 0.6825 0.0671 0.9924
51 O 0.7423 0.5038 0.6240
52 O 0.7411 0.4914 0.8698
53 O 0.7583 0.0084 0.6308
54 O 0.7580 0.9963 0.8766
55 O 0.7423 0.4962 0.1240
56 O 0.7411 0.5086 0.3698
57 O 0.7583 0.9916 0.1308
58 O 0.7580 0.0037 0.3766
59 O 0.8176 0.4329 0.5084
60 O 0.8176 0.5671 0.0084
61 O 0.0490 0.3110 0.9334
62 O 0.0490 0.6890 0.4334
63 O 0.9188 0.7333 0.7117
64 O 0.9188 0.2667 0.2117

# 10
Below is a relaxed structure of Li7Ca8Nb12O40, with properties calculated at the GGA-PBEsol level.

## Properties
- Space-group type: P1 (1)
- Uncorrected formation energy: -2.70 eV/atom

Cell lengths 5.5373, 5.5374, 26.4058 Å; angles 90.01, 89.68, 90.00 degrees
Element x y z (fractional)
1 Li 0.2504 0.2562 0.2500
2 Li 0.2493 0.7565 0.2610
3 Li 0.2489 0.7428 0.7604
4 Li 0.7498 0.7561 0.2500
5 Li 0.7510 0.2564 0.2390
6 Li 0.7507 0.2431 0.7395
7 Li 0.7495 0.7434 0.7500
8 Ca 0.0112 0.9925 0.4146
9 Ca 0.0085 0.5068 0.9172
10 Ca 0.4905 0.5118 0.4198
11 Ca 0.5099 0.0113 0.0802
12 Ca 0.4891 0.9871 0.9220
13 Ca 0.5104 0.4871 0.5779
14 Ca 0.9905 0.4908 0.0853
15 Ca 0.9906 0.0063 0.5828
16 Nb 0.0062 0.0020 0.1558
17 Nb 0.9984 0.5006 0.4981
18 Nb 0.0065 0.4984 0.6537
19 Nb 0.0021 0.0004 0.0019
20 Nb 0.4987 0.5096 0.1558
21 Nb 0.4980 0.9873 0.6537
22 Nb 0.4994 0.0020 0.4981
23 Nb 0.5018 0.0100 0.3442
24 Nb 0.5007 0.5013 0.0019
25 Nb 0.5024 0.4889 0.8463
26 Nb 0.9944 0.5024 0.3442
27 Nb 0.9913 0.9975 0.8463
28 O 0.0279 0.9794 0.2268
29 O 0.0144 0.5518 0.7220
30 O 0.0499 0.5691 0.4249
31 O 0.0588 0.9354 0.9305
32 O 0.1998 0.7003 0.0205
33 O 0.1944 0.8050 0.5143
34 O 0.2500 0.2593 0.3586
35 O 0.2559 0.2536 0.1414
36 O 0.2441 0.7603 0.3384
37 O 0.2517 0.7546 0.1329
38 O 0.2483 0.2407 0.8615
39 O 0.2553 0.2448 0.6385
40 O 0.2432 0.7393 0.8421
41 O 0.2520 0.7439 0.6283
42 O 0.3094 0.3117 0.4957
43 O 0.3118 0.1904 0.0042
44 O 0.4367 0.9458 0.4249
45 O 0.4298 0.5466 0.9306
46 O 0.4729 0.5328 0.2268
47 O 0.4858 0.9350 0.7220
48 O 0.5262 0.0338 0.2732
49 O 0.5577 0.4789 0.7780
50 O 0.5671 0.4517 0.0751
51 O 0.5624 0.0570 0.5694
52 O 0.6884 0.6908 0.4981
53 O 0.6909 0.8114 0.0019
54 O 0.7487 0.2549 0.3671
55 O 0.7563 0.2599 0.1616
56 O 0.7449 0.7544 0.3574
57 O 0.7509 0.7585 0.1425
58 O 0.7472 0.2441 0.8717
59 O 0.7561 0.2391 0.6579
60 O 0.7431 0.7457 0.8661
61 O 0.7502 0.7396 0.6339
62 O 0.8000 0.2003 0.4795
63 O 0.8056 0.3049 0.9857
64 O 0.9442 0.0652 0.0751
65 O 0.9512 0.4279 0.5694
66 O 0.9733 0.4784 0.2732
67 O 0.9409 0.0077 0.7779

# 11
Below is a relaxed structure of LiCa2NbTe, with properties calculated at the GGA-PBEsol level.

## Properties
- Space-group type: P4/mmm (123)
- Uncorrected formation energy: 0.37 eV/atom

Cell lengths 5.1859, 5.8541, 5.8541 Å; angles 90.00, 90.00, 90.00 degrees
Element x y z (fractional)
1 Nb 0.5000 0.0000 0.0000
2 Te 0.0000 0.0000 0.0000
3 Ca 0.0000 0.0000 0.5000
4 Ca 0.0000 0.5000 0.0000
5 Li 0.5000 0.5000 0.5000

# 12
Below is a relaxed structure of Li2CaNi, with properties calculated at the GGA-PBEsol level.

## Properties
- Space-group type: I-42d (122)
- Energy of formation: 0.208 eV per atom

Cell lengths 3.9182, 3.9182, 10.3732 Å; angles 100.89, 100.89, 90.00 degrees
Element x y z (fractional)
1 Ni 0.2500 0.7500 0.5000
2 Ni 0.0000 0.0000 0.0000
3 Ca 0.7500 0.2500 0.5000
4 Ca 0.5000 0.5000 0.0000
5 Li 0.3203 0.3750 0.2500
6 Li 0.9297 0.8750 0.2500
7 Li 0.6250 0.0703 0.7500
8 Li 0.1250 0.6797 0.7500

Total magnetization readings, ordered: 0.001 0.532 0.000 0.002 0.487 0.000 0.000 0.740 0.000 0.000 0.523 0.000 μB/atom
E_tot readings, ordered: -4.91 -4.31 -6.24 -3.30 -3.55 -1.64 -1.85 -3.33 -8.43 -8.23 -3.75 -2.85 eV/atom